Entry 1:
Here is crystalline SrTi2Cu at its relaxed geometry from Alexandria via LeMat-Bulk. Energies are from PBE.

It has space group Fm-3m (No. 225), with a = 6.822 Å, b = 6.822 Å, c = 6.822 Å, α = 90.00°, β = 90.00° and γ = 90.00°. Symmetry generates all atoms from Sr at (0.000, 0.000, 0.000), Ti at (0.250, 0.250, 0.250) and Cu at (0.000, 0.000, 0.500).

The calculation puts the formation energy at 0.799 eV per atom. The relative energy among the computed polymorphs is 0.248 eV per formula unit.


Entry 2:
Here is crystalline SrTiCu at its relaxed geometry from Alexandria via LeMat-Bulk. Energies are from PBE.

It has space group Amm2 (No. 38), with a = 11.584 Å, b = 4.962 Å, c = 4.967 Å, α = 90.00°, β = 90.00° and γ = 90.00°. Symmetry generates all atoms from Sr at (0.170, 0.000, 0.000), Ti at (0.400, 0.000, 0.501), Cu at (0.000, 0.000, 0.500) and Cu at (0.500, 0.000, 0.001).

The calculation puts the formation energy at 0.334 eV per atom.


Entry 3:
Here is crystalline Sr2TiCu2 at its relaxed geometry from Alexandria via LeMat-Bulk. Energies are from PBE.

It has space group P4/mbm (No. 127), with a = 7.331 Å, b = 7.331 Å, c = 4.768 Å, α = 90.00°, β = 90.00° and γ = 90.00°. Symmetry generates all atoms from Sr at (0.178, 0.322, 0.000), Ti at (0.000, 0.000, 0.500) and Cu at (0.124, 0.624, 0.500).

The calculation puts the formation energy at 0.265 eV per atom.


Entry 4:
Here is crystalline SrTlCu2 at its relaxed geometry from Alexandria via LeMat-Bulk. Energies are from PBE.

It has space group Fm-3m (No. 225), with a = 7.059 Å, b = 7.059 Å, c = 7.059 Å, α = 90.00°, β = 90.00° and γ = 90.00°. Symmetry generates all atoms from Sr at (0.000, 0.000, 0.000), Tl at (0.000, 0.000, 0.500) and Cu at (0.250, 0.250, 0.250).

The calculation puts the formation energy at 0.067 eV per atom.


Entry 5:
Here is crystalline SrTlCu at its relaxed geometry from Alexandria via LeMat-Bulk. Energies are from PBE.

It has space group C2/m (No. 12), with a = 13.019 Å, b = 4.415 Å, c = 5.781 Å, α = 90.00°, β = 99.58° and γ = 90.00°. Symmetry generates all atoms from Sr at (0.119, 0.000, 0.320), Tl at (0.092, 0.500, 0.800) and Cu at (0.222, 0.000, 0.882).

The calculation puts the formation energy at -0.199 eV per atom.


Entry 6:
Here is crystalline Sr2TlCu2 at its relaxed geometry from Alexandria via LeMat-Bulk. Energies are from PBE.

It has space group I4/mmm (No. 139), with a = 3.650 Å, b = 3.650 Å, c = 19.978 Å, α = 90.00°, β = 90.00° and γ = 90.00°. Symmetry generates all atoms from Sr at (0.000, 0.000, 0.120), Tl at (0.000, 0.000, 0.500) and Cu at (0.000, 0.500, 0.250).

The calculation puts the formation energy at -0.053 eV per atom.


Entry 7:
Here is crystalline SrTlCu2 at its relaxed geometry from Alexandria via LeMat-Bulk. Energies are from PBE.

It has space group Cm (No. 8), with a = 7.637 Å, b = 4.393 Å, c = 6.285 Å, α = 90.00°, β = 113.78° and γ = 90.00°. Symmetry generates all atoms from Sr at (0.000, 0.000, 0.000), Tl at (0.197, 0.000, 0.590), Cu at (0.292, 0.500, 0.375) and Cu at (0.459, 0.000, 0.377).

The calculation puts the formation energy at -0.066 eV per atom.


Entry 8:
Here is crystalline SrTlCu2 at its relaxed geometry from Alexandria via LeMat-Bulk. Energies are from PBE.

It has space group Pm (No. 6), with a = 4.242 Å, b = 4.242 Å, c = 5.635 Å, α = 90.00°, β = 112.03° and γ = 90.00°. Symmetry generates all atoms from Sr at (0.000, 0.000, 0.000), Tl at (0.703, 0.500, 0.406), Cu at (0.286, 0.000, 0.570) and Cu at (0.397, 0.500, 0.795).

The calculation puts the formation energy at -0.011 eV per atom.


Entry 9:
Here is crystalline SrTlCu2 at its relaxed geometry from Alexandria via LeMat-Bulk. Energies are from PBE.

It has space group I4_1/amd (No. 141, origin choice 2), with a = 4.910 Å, b = 4.910 Å, c = 18.267 Å, α = 90.00°, β = 90.00° and γ = 90.00°. Symmetry generates all atoms from Sr at (0.000, 0.250, 0.375), Tl at (0.000, 0.250, 0.875) and Cu at (0.000, 0.000, 0.000).

The calculation puts the formation energy at 0.097 eV per atom.


Entry 10:
Here is crystalline SrTl3Cu at its relaxed geometry from Alexandria via LeMat-Bulk. Energies are from PBE.

It has space group Pm-3m (No. 221), with a = 5.310 Å, b = 5.310 Å, c = 5.310 Å, α = 90.00°, β = 90.00° and γ = 90.00°. Symmetry generates all atoms from Sr at (0.000, 0.000, 0.000), Tl at (0.000, 0.500, 0.500) and Cu at (0.500, 0.500, 0.500).

The calculation puts the formation energy at -0.027 eV per atom. The relative energy among the computed polymorphs is 0.000 eV per formula unit.


Entry 11:
Here is crystalline SrTlCu2 at its relaxed geometry from Alexandria via LeMat-Bulk. Energies are from PBE.

It has space group P4/mmm (No. 123), with a = 4.803 Å, b = 4.803 Å, c = 4.028 Å, α = 90.00°, β = 90.00° and γ = 90.00°. Symmetry generates all atoms from Sr at (0.000, 0.000, 0.000), Tl at (0.500, 0.500, 0.000) and Cu at (0.000, 0.500, 0.500).

The calculation puts the formation energy at 0.147 eV per atom.


Entry 12:
Here is crystalline SrTlCu2 at its relaxed geometry from Alexandria via LeMat-Bulk. Energies are from PBE.

It has space group P2/m (No. 10), with a = 3.682 Å, b = 3.725 Å, c = 6.755 Å, α = 90.00°, β = 90.33° and γ = 90.00°. Symmetry generates all atoms from Sr at (0.000, 0.000, 0.000), Tl at (0.000, 0.000, 0.500) and Cu at (0.498, 0.500, 0.697).

The calculation puts the formation energy at 0.125 eV per atom.


> Look up the formation energy of the eighth one.

-0.011 eV per atom